DFT (PBE) results for crystalline Ba3SrBi2P at its relaxed geometry.

Geometry as POSCAR:
```
Ba3SrBi2P
1.0
-3.325 0.015 -4.685
3.265 -4.358 -2.332
-5.487 -4.047 7.404
Sr P Bi Ba
1 1 2 3
Cartesian
-1.663 0.008 -2.343
0.000 0.000 0.000
-1.475 -3.800 -2.488
-4.072 -4.589 2.875
1.633 -2.179 -1.166
-1.918 -2.161 1.354
-3.630 -6.228 -0.967
```

## Properties
The total magnetization comes out at 0.00 μB/cell. The value obtained for the theoretical density is 5.04 g cm⁻³. The total DFT energy (no corrections) comes out at -3.798 eV per atom. The energy of formation comes out at -0.8524 eV per atom.



DFT (PBE) results for crystalline BaSr2BiP at its relaxed geometry.

Geometry as POSCAR:
```
BaSr2BiP
1.0
-2.789 0.382 5.060
-1.599 -5.546 -0.463
5.105 -1.718 2.944
P Ba Sr Bi
1 1 2 1
Cartesian
0.000 0.000 0.000
2.552 -0.859 1.472
-0.800 -2.773 -0.231
-1.395 0.191 2.530
0.358 -3.441 3.770
```

## Properties
The total magnetization comes out at 0.00 μB/cell. The value obtained for the theoretical density is 4.46 g cm⁻³. The total DFT energy (no corrections) comes out at -3.804 eV per atom. The energy of formation comes out at -0.8886 eV per atom.



DFT (PBE) results for crystalline Ba2SrBiP at its relaxed geometry.

Geometry as POSCAR:
```
Ba2SrBiP
1.0
6.146 0.000 0.000
0.000 6.146 0.000
0.000 0.000 5.788
Ba Bi Sr P
2 1 1 1
Cartesian
3.073 0.000 0.000
0.000 3.073 0.000
3.073 3.073 2.894
0.000 0.000 2.894
0.000 0.000 0.000
```

## Properties
The total magnetization comes out at 0.00 μB/cell. The value obtained for the theoretical density is 4.57 g cm⁻³. The total DFT energy (no corrections) comes out at -3.828 eV per atom. The energy of formation comes out at -0.8642 eV per atom.



DFT (PBE) results for crystalline Ba5Bi2TeP at its relaxed geometry.

Geometry as POSCAR:
```
Ba5Bi2TeP
1.0
5.716 0.000 0.000
0.000 8.448 0.000
-2.858 -4.224 8.778
Ba P Te Bi
5 1 1 2
Cartesian
0.000 2.080 6.383
0.000 -2.080 6.383
2.858 2.145 2.395
2.858 6.304 2.395
0.000 0.000 0.000
2.858 0.000 0.000
0.000 4.224 0.000
2.858 4.224 5.296
0.000 0.000 3.481
```

## Properties
The total magnetization comes out at 0.00 μB/cell. The value obtained for the theoretical density is 4.95 g cm⁻³. The total DFT energy (no corrections) comes out at -3.813 eV per atom. Its formation energy from raw total energies is -0.932 eV per atom.